Computed, not measured: crystalline Li2Fe3SbO8 at its relaxed geometry at the PBE with a Hubbard U level of DFT.

```
28
Lattice="-2.6804 -4.3188 -3.1928 0.0951 -0.3183 5.9933 -8.4034 4.9235 0.3948" Properties=species:S:1:pos:R:3 pbc="T T T"
Li -8.4252 2.7981 3.2882
Li -8.3106 4.8691 0.3905
Li -4.1089 2.4074 0.1931
Li -5.1487 -0.9972 0.0287
Fe -2.1684 0.0498 4.5135
Fe -2.2149 0.2056 1.5813
Fe -3.4797 -2.0631 2.9515
Fe -6.8891 1.9863 0.2148
Fe -8.1540 -0.2825 1.5850
Fe -8.2005 -0.1267 -1.3473
Sb -4.9176 0.7430 3.1234
Sb -10.0445 1.8713 0.2587
O -5.3729 1.9414 4.6873
O -2.9656 1.3818 3.1263
O -1.7271 -1.1263 2.9735
O -2.5393 1.4878 0.1193
O -6.7410 3.9495 0.3167
O -5.4201 2.0995 1.7103
O -4.1137 -0.6775 4.3700
O -4.1559 -0.5362 1.7085
O -1.6840 -1.0334 -0.0282
O -6.7043 -0.2039 3.1014
O -8.4611 1.7765 1.5634
O -8.5033 1.9178 -1.0981
O -6.8539 0.0020 0.1088
O -2.9682 -3.3368 1.3629
O -9.6514 -0.1415 0.1456
O -3.0154 -3.1786 -1.6141
```

Results
Energy above the lowest structure with this stoichiometry   0.00 eV per formula unit
DOS(E_F)   0.000 states/eV/f.u.